# Tm5Tl2Ru2Pt

Tm5Tl2Ru2Pt after structural relaxation (PBE, Alexandria via LeMat-Bulk).

Cell: 3.4460 11.6605 11.6605 Å, 90.00 90.00 90.00°
Positions (direct):
Tm1 0.5000 0.1979 0.0671
Tm2 0.5000 0.8021 0.9329
Tm3 0.5000 0.0671 0.8021
Tm4 0.5000 0.6979 0.4329
Tm5 0.5000 0.9329 0.1979
Tm6 0.5000 0.3021 0.5671
Tm7 0.5000 0.5671 0.6979
Tm8 0.5000 0.4329 0.3021
Tm9 0.5000 0.5000 0.0000
Tm10 0.5000 0.0000 0.5000
Tl1 0.0000 0.6776 0.1776
Tl2 0.0000 0.3224 0.8224
Tl3 0.0000 0.1776 0.3224
Tl4 0.0000 0.8224 0.6776
Ru1 0.0000 0.1348 0.6348
Ru2 0.0000 0.8652 0.3652
Ru3 0.0000 0.6348 0.8652
Ru4 0.0000 0.3652 0.1348
Pt1 0.0000 0.0000 0.0000
Pt2 0.0000 0.5000 0.5000

SG	P4/mbm, No. 127
formation enthalpy at 0 K	-0.497	eV/atom